[1]
## Sr2IrW (GGA-PBE)

Data for a geometry-optimized Sr2IrW structure.

Values from the calculation:
total moment = 4.06 μB/cell
relative energy among the computed polymorphs = 761 meV per atom
energy of formation = 1095 meV/atom
symmetry = No. 123

Lattice parameters (Å, degrees): 3.850 3.850 6.866 90.00 90.00 90.00
Sites, in units of the cell vectors:
1 Sr 0.000 0.000 0.232
2 Sr 0.000 0.000 0.768
3 Ir 0.500 0.500 0.000
4 W 0.500 0.500 0.500

---

[2]
## BaNaZnAg2 (GGA-PBE)

Data for a geometry-optimized BaNaZnAg2 structure.

Values from the calculation:
total moment = 0.00 μB/cell
energy of formation = -13 meV/atom
symmetry = No. 123

Lattice parameters (Å, degrees): 5.183 5.183 5.280 90.00 90.00 90.00
Sites, in units of the cell vectors:
1 Ba 0.000 0.000 0.000
2 Na 0.500 0.500 0.000
3 Zn 0.500 0.500 0.500
4 Ag 0.000 0.500 0.500
5 Ag 0.500 0.000 0.500

---

[3]
## LaCe2Ag2Sn2 (GGA-PBE)

Data for a geometry-optimized LaCe2Ag2Sn2 structure.

Values from the calculation:
total moment = 2.30 μB/cell
energy of formation = -417 meV/atom
symmetry = No. 166

Lattice parameters (Å, degrees): 9.718 9.718 9.718 28.34 28.34 28.34
Sites, in units of the cell vectors:
1 La 0.000 0.000 0.000
2 Ce 0.144 0.144 0.144
3 Ce 0.856 0.856 0.856
4 Ag 0.425 0.425 0.425
5 Ag 0.575 0.575 0.575
6 Sn 0.264 0.264 0.264
7 Sn 0.736 0.736 0.736

---

[4]
## FeTcRu2 (GGA-PBE)

Data for a geometry-optimized FeTcRu2 structure.

Values from the calculation:
total moment = 3.04 μB/cell
relative energy among the computed polymorphs = 144 meV per atom
energy of formation = 239 meV/atom
symmetry = No. 44

Lattice parameters (Å, degrees): 5.121 5.121 5.121 147.12 130.27 60.91
Sites, in units of the cell vectors:
1 Fe 0.000 0.000 0.000
2 Tc 0.773 0.273 0.500
3 Ru 0.228 0.728 0.500
4 Ru 0.503 0.503 0.000

---

[5]
## Nd2Ge3Pd (GGA-PBE)

Data for a geometry-optimized Nd2Ge3Pd structure.

Values from the calculation:
total moment = 0.00 μB/cell
relative energy among the computed polymorphs = 0 meV per atom
energy of formation = -850 meV/atom
symmetry = No. 69

Lattice parameters (Å, degrees): 8.566 8.544 6.014 69.62 69.23 41.16
Sites, in units of the cell vectors:
1 Nd 0.245 0.755 0.755
2 Nd 0.250 0.250 0.250
3 Nd 0.750 0.750 0.750
4 Nd 0.755 0.245 0.245
5 Ge 0.168 0.168 0.832
6 Ge 0.169 0.663 0.337
7 Ge 0.337 0.831 0.169
8 Ge 0.663 0.169 0.831
9 Ge 0.831 0.337 0.663
10 Ge 0.832 0.832 0.168
11 Pd 0.333 0.333 0.667
12 Pd 0.667 0.667 0.333

---

[6]
## Pm2YHgO (GGA-PBE)

Data for a geometry-optimized Pm2YHgO structure.

Values from the calculation:
raw formation energy = -1.364 eV/atom
total moment = 0.00 μB/cell
symmetry = No. 123

Lattice parameters (Å, degrees): 4.920 4.920 4.785 90.00 90.00 90.00
Sites, in units of the cell vectors:
1 Pm 0.000 0.500 0.000
2 Pm 0.500 0.000 0.000
3 Y 0.000 0.000 0.500
4 Hg 0.500 0.500 0.500
5 O 0.000 0.000 0.000

---

[7]
## Ho2ZnHg (GGA-PBE)

Data for a geometry-optimized Ho2ZnHg structure.

Values from the calculation:
total moment = 0.00 μB/cell
relative energy among the computed polymorphs = 17 meV per atom
energy of formation = -398 meV/atom
symmetry = No. 225

Lattice parameters (Å, degrees): 5.147 5.147 5.147 60.00 60.00 60.00
Sites, in units of the cell vectors:
1 Ho 0.250 0.250 0.250
2 Ho 0.750 0.750 0.750
3 Zn 0.000 0.000 0.000
4 Hg 0.500 0.500 0.500

---

[8]
## Pm2InAs3Rh4 (GGA-PBE)

Data for a geometry-optimized Pm2InAs3Rh4 structure.

Values from the calculation:
total moment = 0.00 μB/cell
energy of formation = -836 meV/atom
symmetry = No. 115

Lattice parameters (Å, degrees): 4.137 4.137 11.092 90.00 90.00 90.00
Sites, in units of the cell vectors:
1 Pm 0.000 0.500 0.239
2 Pm 0.500 0.000 0.761
3 In 0.000 0.000 0.500
4 As 0.000 0.500 0.871
5 As 0.500 0.000 0.129
6 As 0.500 0.500 0.500
7 Rh 0.000 0.000 0.000
8 Rh 0.000 0.500 0.655
9 Rh 0.500 0.000 0.345
10 Rh 0.500 0.500 0.000

---

[9]
## Al2In3 (GGA-PBE)

Data for a geometry-optimized Al2In3 structure.

Values from the calculation:
total moment = 0.00 μB/cell
relative energy among the computed polymorphs = 0 meV per atom
energy of formation = 139 meV/atom
symmetry = No. 166

Lattice parameters (Å, degrees): 13.199 13.199 13.199 13.91 13.91 13.91
Sites, in units of the cell vectors:
1 Al 0.102 0.102 0.102
2 Al 0.898 0.898 0.898
3 In 0.296 0.296 0.296
4 In 0.500 0.500 0.500
5 In 0.704 0.704 0.704

---

[10]
## Os4Cl5 (GGA-PBE)

Data for a geometry-optimized Os4Cl5 structure.

Values from the calculation:
raw formation energy = 0.851 eV/atom
total moment = 3.89 μB/cell
symmetry = No. 193

Lattice parameters (Å, degrees): 7.576 7.576 8.267 90.00 90.00 120.00
Sites, in units of the cell vectors:
1 Os 0.000 0.000 0.000
2 Os 0.000 0.000 0.500
3 Os 0.000 0.199 0.250
4 Os 0.000 0.801 0.750
5 Os 0.199 0.000 0.250
6 Os 0.199 0.199 0.750
7 Os 0.801 0.000 0.750
8 Os 0.801 0.801 0.250
9 Cl 0.000 0.354 0.750
10 Cl 0.000 0.646 0.250
11 Cl 0.333 0.667 0.000
12 Cl 0.333 0.667 0.500
13 Cl 0.354 0.000 0.750
14 Cl 0.354 0.354 0.250
15 Cl 0.646 0.000 0.250
16 Cl 0.646 0.646 0.750
17 Cl 0.667 0.333 0.000
18 Cl 0.667 0.333 0.500

---

[11]
## KTmAg2I6 (GGA-PBE)

Data for a geometry-optimized KTmAg2I6 structure.

Values from the calculation:
raw formation energy = -0.869 eV/atom
total moment = 0.00 μB/cell
symmetry = No. 15

Lattice parameters (Å, degrees): 10.831 10.831 8.748 106.72 106.72 80.62
Sites, in units of the cell vectors:
1 K 0.157 0.843 0.750
2 K 0.843 0.157 0.250
3 Tm 0.179 0.821 0.250
4 Tm 0.821 0.179 0.750
5 Ag 0.392 0.490 0.848
6 Ag 0.490 0.392 0.348
7 Ag 0.510 0.608 0.652
8 Ag 0.608 0.510 0.152
9 I 0.053 0.181 0.661
10 I 0.149 0.607 0.962
11 I 0.181 0.053 0.161
12 I 0.280 0.461 0.501
13 I 0.393 0.851 0.538
14 I 0.461 0.280 0.001
15 I 0.539 0.720 0.999
16 I 0.607 0.149 0.462
17 I 0.720 0.539 0.499
18 I 0.819 0.947 0.839
19 I 0.851 0.393 0.038
20 I 0.947 0.819 0.339

---

[12]
## CaIn2Au (GGA-PBE)

Data for a geometry-optimized CaIn2Au structure.

Values from the calculation:
total moment = 0.00 μB/cell
energy of formation = -380 meV/atom
symmetry = No. 166

Lattice parameters (Å, degrees): 6.156 6.156 6.156 44.67 44.67 44.67
Sites, in units of the cell vectors:
1 Ca 0.000 0.000 0.000
2 In 0.222 0.222 0.222
3 In 0.778 0.778 0.778
4 Au 0.500 0.500 0.500